Compound: Pm2Ho2Bi3
Source: Alexandria via LeMat-Bulk
Functional: PBE
Structure: optimized geometry

Properties
Formation enthalpy at 0 K in eV per atom: -0.61
Total DFT energy (no corrections) in Ry per atom: -0.363
Crystal system: monoclinic
M_tot in μB per cell: 0.0

```
data_Pm2Ho2Bi3
_chemical_formula_sum 'Pm2 Ho2 Bi3'
_symmetry_space_group_name_H-M 'P 1'
_symmetry_Int_Tables_number 1
_cell_length_a 7.537
_cell_length_b 7.537
_cell_length_c 7.522
_cell_angle_alpha 98.82
_cell_angle_beta 98.82
_cell_angle_gamma 35.02
loop_
_symmetry_equiv_pos_as_xyz
'x,y,z'
loop_
_atom_site_label
_atom_site_type_symbol
_atom_site_fract_x
_atom_site_fract_y
_atom_site_fract_z
Pm1 Pm 0.123 0.123 0.354
Pm2 Pm 0.877 0.877 0.646
Ho1 Ho 0.382 0.382 0.114
Ho2 Ho 0.618 0.618 0.886
Bi1 Bi 0.238 0.238 0.756
Bi2 Bi 0.500 0.500 0.500
Bi3 Bi 0.762 0.762 0.244
```